No. 1
Tb3Si6Pd2Rh after structural relaxation. Source: Alexandria, functional PBE-GGA.

Lattice parameters (Å, degrees): 5.677 5.677 7.935 90.00 90.00 120.00
Positions (direct):
Tb1 0.000 0.000 0.000
Tb2 0.333 0.667 0.614
Tb3 0.667 0.333 0.386
Si1 0.189 0.378 0.288
Si2 0.189 0.811 0.288
Si3 0.378 0.189 0.712
Si4 0.622 0.811 0.288
Si5 0.811 0.189 0.712
Si6 0.811 0.622 0.712
Pd1 0.333 0.667 0.029
Pd2 0.667 0.333 0.971
Rh1 0.000 0.000 0.500

Properties
Energy relative to the elements, uncorrected = -0.55 eV/atom
ρ = 7.205 g/cm3
Space group = P-3m1 (164)



No. 2
TbSi2PdRh after structural relaxation. Source: Alexandria, functional PBE-GGA.

Lattice parameters (Å, degrees): 5.816 5.816 5.816 138.96 138.96 59.44
Positions (direct):
Tb1 0.000 0.000 0.000
Si1 0.384 0.384 0.000
Si2 0.616 0.616 0.000
Pd1 0.250 0.750 0.500
Rh1 0.750 0.250 0.500

Properties
Energy relative to the elements, uncorrected = -1.00 eV/atom
ρ = 8.392 g/cm3
Space group = I-4m2 (119)



No. 3
Tb2Si2PdRh5 after structural relaxation. Source: Alexandria, functional PBE-GGA.

Lattice parameters (Å, degrees): 9.721 9.721 3.502 90.00 90.00 90.00
Positions (direct):
Tb1 0.175 0.325 0.000
Tb2 0.325 0.825 0.000
Tb3 0.675 0.175 0.000
Tb4 0.825 0.675 0.000
Si1 0.125 0.625 0.000
Si2 0.375 0.125 0.000
Si3 0.625 0.875 0.000
Si4 0.875 0.375 0.000
Pd1 0.000 0.000 0.000
Pd2 0.500 0.500 0.000
Rh1 0.000 0.500 0.500
Rh2 0.069 0.785 0.500
Rh3 0.215 0.069 0.500
Rh4 0.285 0.569 0.500
Rh5 0.431 0.285 0.500
Rh6 0.500 0.000 0.500
Rh7 0.569 0.715 0.500
Rh8 0.715 0.431 0.500
Rh9 0.785 0.931 0.500
Rh10 0.931 0.215 0.500

Properties
Energy relative to the elements, uncorrected = -0.83 eV/atom
ρ = 9.985 g/cm3
Space group = P4/mbm (127)



No. 4
ThSi2Pd2Rh after structural relaxation. Source: Alexandria, functional PBE-GGA.

Lattice parameters (Å, degrees): 7.835 7.835 7.835 150.03 150.03 42.90
Positions (direct):
Th1 0.000 0.000 0.000
Si1 0.341 0.341 0.000
Si2 0.659 0.659 0.000
Pd1 0.250 0.750 0.500
Pd2 0.750 0.250 0.500
Rh1 0.500 0.500 0.000

Properties
Energy relative to the elements, uncorrected = -0.64 eV/atom
ρ = 8.377 g/cm3
Space group = I4/mmm (139)



The lowest energy relative to the elements, uncorrected belongs to which entry?
TbSi2PdRh